[1]
# Ta2As2P, relaxed, DFT PBE-GGA
data_Ta2As2P
_cell_length_a 3.5913
_cell_length_b 3.5913
_cell_length_c 13.5684
_cell_angle_alpha 90.00
_cell_angle_beta 90.00
_cell_angle_gamma 90.00
_symmetry_space_group_name_H-M 'I 4/m m m'
_symmetry_Int_Tables_number 139
_symmetry_space_group_name_Hall '-I 4 2'
loop_
_atom_site_label
_atom_site_type_symbol
_atom_site_fract_x
_atom_site_fract_y
_atom_site_fract_z
Ta1 Ta 0.0000 0.0000 0.1014
As1 As 0.0000 0.5000 0.2500
P1 P 0.0000 0.0000 0.5000
# Calculated density   10.299 g/cm³
# Relative energy among the computed polymorphs   364.8 meV per atom
# Magnetic moment   0.000 μB/f.u.
# DFT total energy   -7.57 eV per atom
# DFT formation energy   0.1084 eV per atom

---

[2]
# YCdP2, relaxed, DFT PBE-GGA
data_YCdP2
_cell_length_a 4.3353
_cell_length_b 5.3539
_cell_length_c 7.0748
_cell_angle_alpha 90.00
_cell_angle_beta 90.00
_cell_angle_gamma 90.00
_symmetry_space_group_name_H-M 'I m m m'
_symmetry_Int_Tables_number 71
_symmetry_space_group_name_Hall '-I 2 2'
loop_
_atom_site_label
_atom_site_type_symbol
_atom_site_fract_x
_atom_site_fract_y
_atom_site_fract_z
Y1 Y 0.0000 0.0000 0.0000
Cd1 Cd 0.0000 0.0000 0.5000
P1 P 0.0000 0.5000 0.2310
# Calculated density   5.324 g/cm³
# Magnetic moment   0.000 μB/f.u.
# DFT total energy   -4.94 eV per atom
# DFT formation energy   -0.3858 eV per atom

---

[3]
# CuOsSN2, relaxed, DFT PBE-GGA
data_CuOsSN2
_cell_length_a 3.6671
_cell_length_b 3.6671
_cell_length_c 4.5525
_cell_angle_alpha 90.00
_cell_angle_beta 90.00
_cell_angle_gamma 90.00
_symmetry_space_group_name_H-M 'P 4/m m m'
_symmetry_Int_Tables_number 123
_symmetry_space_group_name_Hall '-P 4 2'
loop_
_atom_site_label
_atom_site_type_symbol
_atom_site_fract_x
_atom_site_fract_y
_atom_site_fract_z
Cu1 Cu 0.0000 0.0000 0.0000
Os1 Os 0.5000 0.5000 0.5000
S1 S 0.0000 0.0000 0.5000
N1 N 0.0000 0.5000 0.0000
# Calculated density   8.513 g/cm³
# Relative energy among the computed polymorphs   1340.4 meV per atom
# Magnetic moment   0.032 μB/f.u.
# DFT total energy   -5.18 eV per atom
# E_form (uncorrected)   47.14 kcal/mol of atoms

---

[4]
# Ba2Tl2O5, relaxed, DFT PBE-GGA
data_Ba2Tl2O5
_cell_length_a 6.0953
_cell_length_b 17.5516
_cell_length_c 6.5053
_cell_angle_alpha 90.00
_cell_angle_beta 90.00
_cell_angle_gamma 90.00
_symmetry_space_group_name_H-M 'P n m a'
_symmetry_Int_Tables_number 62
loop_
_symmetry_equiv_pos_as_xyz
'x,y,z'
'-x,-y,-z'
'-x+1/2,-y,z+1/2'
'x+1/2,y,-z+1/2'
'x+1/2,-y+1/2,-z+1/2'
'-x+1/2,y+1/2,z+1/2'
'-x,y+1/2,-z'
'x,-y+1/2,z'
loop_
_atom_site_label
_atom_site_type_symbol
_atom_site_fract_x
_atom_site_fract_y
_atom_site_fract_z
Ba1 Ba 0.0077 0.1121 0.0263
Tl1 Tl 0.0000 0.0000 0.5000
Tl2 Tl 0.0276 0.2500 0.5604
O1 O 0.0321 0.6395 0.5678
O2 O 0.1047 0.7500 0.1180
O3 O 0.2348 0.0069 0.7941
# Calculated density   7.286 g/cm³
# Relative energy among the computed polymorphs   0.0 meV per atom
# Magnetic moment   0.000 μB/f.u.
# DFT total energy   -5.28 eV per atom
# E_form (uncorrected)   -36.29 kcal/mol of atoms

---

Repeat the fourth record exactly.
# Ba2Tl2O5, relaxed, DFT PBE-GGA
data_Ba2Tl2O5
_cell_length_a 6.0953
_cell_length_b 17.5516
_cell_length_c 6.5053
_cell_angle_alpha 90.00
_cell_angle_beta 90.00
_cell_angle_gamma 90.00
_symmetry_space_group_name_H-M 'P n m a'
_symmetry_Int_Tables_number 62
loop_
_symmetry_equiv_pos_as_xyz
'x,y,z'
'-x,-y,-z'
'-x+1/2,-y,z+1/2'
'x+1/2,y,-z+1/2'
'x+1/2,-y+1/2,-z+1/2'
'-x+1/2,y+1/2,z+1/2'
'-x,y+1/2,-z'
'x,-y+1/2,z'
loop_
_atom_site_label
_atom_site_type_symbol
_atom_site_fract_x
_atom_site_fract_y
_atom_site_fract_z
Ba1 Ba 0.0077 0.1121 0.0263
Tl1 Tl 0.0000 0.0000 0.5000
Tl2 Tl 0.0276 0.2500 0.5604
O1 O 0.0321 0.6395 0.5678
O2 O 0.1047 0.7500 0.1180
O3 O 0.2348 0.0069 0.7941
# Calculated density   7.286 g/cm³
# Relative energy among the computed polymorphs   0.0 meV per atom
# Magnetic moment   0.000 μB/f.u.
# DFT total energy   -5.28 eV per atom
# E_form (uncorrected)   -36.29 kcal/mol of atoms

---

Which value of magnetic moment does entry 1 give?
0.000 μB/f.u.

---

magnetic moment of number 4 (Ba2Tl2O5)?
0.000 μB/f.u.